A relaxed Be2TeMoW crystal, computed with PBE-GGA.

Results
E_form (uncorrected): 2094 meV per atom

Geometry as extended XYZ:
```
5
Lattice="4.254 0.000 0.000 0.000 5.216 0.000 0.000 0.000 4.254" Properties=species:S:1:pos:R:3 pbc="T T T"
Be 0.000 0.000 2.127
Be 2.127 0.000 0.000
Mo 2.127 2.608 2.127
Te 0.000 0.000 0.000
W 0.000 2.608 0.000
```